No. 1
Below is a relaxed structure of LaIO5, with properties calculated at the PBE-GGA level.

Lattice parameters (Å, degrees): 5.698 5.698 7.838 69.84 69.84 72.24
Sites, in units of the cell vectors:
La1 0.538 0.462 0.250
La2 0.462 0.538 0.750
I1 0.000 0.000 0.000
I2 0.000 0.000 0.500
O1 0.791 0.768 0.112
O2 0.271 0.713 0.472
O3 0.768 0.791 0.612
O4 0.922 0.078 0.250
O5 0.287 0.729 0.028
O6 0.713 0.271 0.972
O7 0.078 0.922 0.750
O8 0.232 0.209 0.388
O9 0.729 0.287 0.528
O10 0.209 0.232 0.888

- Formation energy without anion corrections: -10.10 eV/f.u.

No. 2
Below is a relaxed structure of SrLiCdAs2, with properties calculated at the PBE-GGA level.

Lattice parameters (Å, degrees): 4.327 4.327 6.920 108.22 108.22 90.00
Sites, in units of the cell vectors:
Sr1 0.000 0.000 0.000
Li1 0.750 0.250 0.500
Cd1 0.250 0.750 0.500
As1 0.615 0.615 0.229
As2 0.385 0.385 0.771

- Density of states at the Fermi level: 0.488 states/eV per atom

No. 3
Below is a relaxed structure of PuTl2Cl5, with properties calculated at the PBE-GGA level.

Lattice parameters (Å, degrees): 8.223 8.781 13.249 90.00 90.00 90.00
Site moments in Bohr magnetons follow the coordinates.
Sites, in units of the cell vectors:
Pu1 0.437 0.250 0.502  5.02
Pu2 0.563 0.750 0.498  5.02
Pu3 0.937 0.750 0.998  5.02
Pu4 0.063 0.250 0.002  5.02
Tl1 0.449 0.504 0.830  0.00
Tl2 0.551 0.496 0.170  0.00
Tl3 0.949 0.496 0.670  0.00
Tl4 0.551 0.004 0.170  0.00
Tl5 0.051 0.504 0.330  0.00
Tl6 0.449 0.996 0.830  0.00
Tl7 0.051 0.996 0.330  0.00
Tl8 0.949 0.004 0.670  0.00
Cl1 0.092 0.250 0.508  -0.01
Cl2 0.908 0.750 0.492  -0.01
Cl3 0.592 0.750 0.992  -0.01
Cl4 0.408 0.250 0.008  -0.01
Cl5 0.340 0.960 0.577  -0.03
Cl6 0.660 0.040 0.423  -0.03
Cl7 0.840 0.040 0.923  -0.03
Cl8 0.660 0.460 0.423  -0.03
Cl9 0.160 0.960 0.077  -0.03
Cl10 0.340 0.540 0.577  -0.03
Cl11 0.160 0.540 0.077  -0.03
Cl12 0.840 0.460 0.923  -0.03
Cl13 0.156 0.250 0.802  -0.02
Cl14 0.844 0.750 0.198  -0.02
Cl15 0.656 0.750 0.698  -0.02
Cl16 0.344 0.250 0.302  -0.02
Cl17 0.617 0.250 0.677  -0.02
Cl18 0.383 0.750 0.323  -0.02
Cl19 0.117 0.750 0.823  -0.02
Cl20 0.883 0.250 0.177  -0.02

- Formation energy without anion corrections: -11.97 eV/f.u.
- Density of states at the Fermi level: 1.376 states/eV per atom

No. 4
Below is a relaxed structure of HoPu5N6, with properties calculated at the PBE-GGA level.

Lattice parameters (Å, degrees): 6.018 6.018 5.988 99.68 99.68 119.97
Site moments in Bohr magnetons follow the coordinates.
Sites, in units of the cell vectors:
N1 0.420 0.084 0.249  -0.05
N2 0.916 0.580 0.751  -0.05
N3 0.252 0.252 0.749  -0.04
N4 0.748 0.748 0.251  -0.04
N5 0.084 0.420 0.249  -0.05
N6 0.580 0.916 0.751  -0.05
Ho1 0.000 0.000 0.000  0.03
Pu1 0.834 0.166 0.500  -4.48
Pu2 0.666 0.334 0.000  4.55
Pu3 0.500 0.500 0.500  4.54
Pu4 0.334 0.666 0.000  4.55
Pu5 0.166 0.834 0.500  -4.48

- Formation energy without anion corrections: -15.27 eV/f.u.
- Density of states at the Fermi level: 2.490 states/eV per atom

No. 5
Below is a relaxed structure of BaInFe2Cl8, with properties calculated at the PBE-GGA level.

Lattice parameters (Å, degrees): 6.673 6.673 10.295 90.00 90.00 120.00
Site moments in Bohr magnetons follow the coordinates.
Sites, in units of the cell vectors:
Ba1 0.000 0.000 0.500  0.02
In1 0.000 0.000 0.000  0.00
Fe1 0.667 0.333 0.225  3.60
Fe2 0.333 0.667 0.775  3.60
Cl1 0.333 0.667 0.989  0.17
Cl2 0.347 0.336 0.297  0.11
Cl3 0.664 0.012 0.297  0.11
Cl4 0.667 0.333 0.011  0.17
Cl5 0.336 0.988 0.703  0.11
Cl6 0.653 0.664 0.703  0.11
Cl7 0.012 0.347 0.703  0.11
Cl8 0.988 0.653 0.297  0.11

- Formation energy without anion corrections: -14.25 eV/f.u.
- Density of states at the Fermi level: 0.780 states/eV per atom

No. 6
Below is a relaxed structure of KBe2Zn, with properties calculated at the PBE-GGA level.

Lattice parameters (Å, degrees): 5.955 5.955 5.955 154.79 123.60 62.74
Sites, in units of the cell vectors:
Be1 0.988 0.988 0.000
Be2 0.821 0.321 0.500
Zn1 0.186 0.686 0.500
K1 0.504 0.504 0.000

- Density of states at the Fermi level: 0.409 states/eV per atom

What are the total magnetization values for these records? In order: 0.00; 0.00; 0.62; 0.39; 0.75; 0.00 μB/atom.
What are the E_tot values for these records? In order: -0.21718; -0.12649; -0.18496; -0.43321; -0.15498; -0.06428 hartree per atom.